## SrTiSCl2 (PBE)

Data for an optimized crystal structure of SrTiSCl2.

Cell lengths 5.3528, 5.3528, 5.7748 Å; angles 90.00, 90.00, 90.00 degrees
Last column: nearest neighbours and their distance in Å.
Sites, in units of the cell vectors:
Sr  0.0000  0.0000  0.0000  4 Cl 2.68, 2 S 2.89
Ti  0.5000  0.5000  0.5000  4 S 3.79, 8 Cl 3.94
S  0.0000  0.0000  0.5000  2 Sr 2.89
Cl  0.0000  0.5000  0.0000  2 Sr 2.68
Cl  0.5000  0.0000  0.0000  2 Sr 2.68

Summary:
* relative energy among the computed polymorphs: 960 meV per atom
* VASP energy: -20.25 eV per cell
* theoretical density: 2.39 Mg/m³
* energy relative to the elements, uncorrected: -55 kJ per mole of atoms